Entry from the Alexandria database: a relaxed Re2PdW crystal (PBE).

Output
The value obtained for the energy above the most stable polymorph in this dataset is 1.10 eV/f.u. Its final energy is -166.7 eV for the cell shown.

Unit cell a=6.2746 b=6.2746 c=6.2746 alpha=90.00 beta=90.00 gamma=90.00
Last column: nearest neighbours and their distance in Å.
Fractional positions:
Re1 0.2500 0.2500 0.2500  4 W 2.72, 4 Pd 2.72
Re2 0.2500 0.2500 0.7500  4 W 2.72, 4 Pd 2.72
Re3 0.2500 0.7500 0.2500  4 W 2.72, 4 Pd 2.72
Re4 0.2500 0.7500 0.7500  4 W 2.72, 4 Pd 2.72
Re5 0.7500 0.2500 0.2500  4 W 2.72, 4 Pd 2.72
Re6 0.7500 0.2500 0.7500  4 W 2.72, 4 Pd 2.72
Re7 0.7500 0.7500 0.2500  4 W 2.72, 4 Pd 2.72
Re8 0.7500 0.7500 0.7500  4 W 2.72, 4 Pd 2.72
Pd1 0.0000 0.0000 0.0000  8 Re 2.72
Pd2 0.0000 0.5000 0.5000  8 Re 2.72
Pd3 0.5000 0.0000 0.5000  8 Re 2.72
Pd4 0.5000 0.5000 0.0000  8 Re 2.72
W1 0.0000 0.0000 0.5000  8 Re 2.72
W2 0.0000 0.5000 0.0000  8 Re 2.72
W3 0.5000 0.0000 0.0000  8 Re 2.72
W4 0.5000 0.5000 0.5000  8 Re 2.72